Entry 1:
Below is a geometry-optimized Nd4Tl2Cd structure, with properties calculated at the GGA-PBE level.

* VASP energy: -3.686 eV per atom
* energy above the most stable polymorph in this dataset: 0.0848 eV/atom
* formation enthalpy at 0 K: -0.16 eV per atom
* magnetization: 0.0 μB/f.u.

Cell lengths 7.5643, 6.7292, 9.3107 Å; angles 90.00, 110.32, 90.00 degrees
Last column: nearest neighbours and their distance in Å.
Space group P2_1/m (No. 11)
Asymmetric unit:
Nd: 0.0778 0.2500 0.0476 x2  1 Cd 3.16, 1 Tl 3.41
Nd: 0.1656 0.0068 0.7229 x4  1 Cd 3.11, 4 Tl 3.27-3.46, 2 Nd 3.27-3.46
Nd: 0.3244 0.7500 0.3445 x2  4 Tl 3.24-3.63, 1 Cd 3.25
Tl: 0.2201 0.2500 0.4373 x2  1 Cd 2.91
Tl: 0.4377 0.7500 0.0392 x2  1 Cd 3.22, 5 Nd 3.24-3.46
Cd: 0.4949 0.2500 0.2834 x2  2 Tl 2.91-3.22, 4 Nd 3.11-3.25

Entry 2:
Below is a geometry-optimized Th3GeB2Rh8 structure, with properties calculated at the GGA-PBE level.

* VASP energy: -7.680 eV per atom
* formation enthalpy at 0 K: -0.61 eV per atom
* magnetization: 0.0 μB/f.u.

Cell lengths 5.5470, 5.5470, 8.9952 Å; angles 90.00, 90.00, 120.00 degrees
Last column: nearest neighbours and their distance in Å.
Space group P-3m1 (No. 164)
Asymmetric unit:
Th: 0.0000 0.0000 0.0000 x1  6 Rh 2.95
Th: 0.3333 0.6667 0.5889 x2  7 Rh 2.82-3.03
Ge: 0.0000 0.0000 0.5000 x1  6 Rh 2.59
B: 0.3333 0.6667 0.1226 x2  4 Rh 1.98-2.10
Rh: 0.1681 0.3361 0.2746 x6  1 B 2.10
Rh: 0.3333 0.6667 0.9024 x2  1 B 1.98

Entry 3:
Below is a geometry-optimized ZrGa2HgPd structure, with properties calculated at the GGA-PBE level.

* VASP energy: -3.346 eV per atom
* formation enthalpy at 0 K: 0.67 eV per atom
* magnetization: 0.0 μB/f.u.

Cell lengths 4.8752, 4.8752, 5.0156 Å; angles 90.00, 90.00, 90.00 degrees
Last column: nearest neighbours and their distance in Å.
Space group P4/mmm (No. 123)
Asymmetric unit:
Zr: 0.0000 0.0000 0.0000 x1  4 Pd 3.45, 8 Ga 3.50
Ga: 0.0000 0.5000 0.5000 x2  2 Hg 2.44
Hg: 0.5000 0.5000 0.5000 x1  4 Ga 2.44, 2 Pd 2.51
Pd: 0.5000 0.5000 0.0000 x1  2 Hg 2.51